## CsKAu2 (PBE-GGA)

Data for a relaxed structure of CsKAu2.

Values from the calculation:
The space-group type is No. 123. As for the spin magnetization: 0.0 μB/f.u. As for the crystal system: tetragonal. The formation energy is -1.208 eV/f.u.

Cell lengths 4.2001, 4.2001, 8.1517 Å; angles 90.00, 90.00, 90.00 degrees
Fractional coordinates of all 4 atoms:
Au1 0.0000 0.0000 0.7884
Au2 0.0000 0.0000 0.2116
Cs1 0.5000 0.5000 0.5000
K1 0.5000 0.5000 0.0000

---

## Cs4K2Au (PBE-GGA)

Data for a relaxed structure of Cs4K2Au.

Values from the calculation:
The space-group type is No. 139. As for the spin magnetization: 0.0 μB/f.u. As for the crystal system: tetragonal. The formation energy is -0.513 eV/f.u.

Cell lengths 7.0501, 7.0501, 13.6341 Å; angles 104.98, 104.98, 90.00 degrees
Fractional coordinates of all 7 atoms:
Cs1 0.6791 0.6791 0.3582
Cs2 0.3209 0.3209 0.6418
Cs3 0.5000 0.0000 0.0000
Cs4 0.0000 0.5000 0.0000
K1 0.1313 0.1313 0.2626
K2 0.8687 0.8687 0.7374
Au1 0.0000 0.0000 0.0000

---

## CsK4Au5 (PBE-GGA)

Data for a relaxed structure of CsK4Au5.

Values from the calculation:
The space-group type is No. 123. As for the spin magnetization: 0.0 μB/f.u. As for the crystal system: tetragonal. The formation energy is -2.891 eV/f.u.

Cell lengths 4.0620, 4.0620, 20.2174 Å; angles 90.00, 90.00, 90.00 degrees
Fractional coordinates of all 10 atoms:
K1 0.0000 0.0000 0.7916
K2 0.0000 0.0000 0.4024
K3 0.0000 0.0000 0.5976
K4 0.0000 0.0000 0.2084
Au1 0.5000 0.5000 0.5000
Au2 0.5000 0.5000 0.8845
Au3 0.5000 0.5000 0.3046
Au4 0.5000 0.5000 0.6954
Au5 0.5000 0.5000 0.1155
Cs1 0.0000 0.0000 0.0000

---

## Cs6K10Au (PBE-GGA)

Data for a relaxed structure of Cs6K10Au.

Values from the calculation:
The space-group type is No. 162. As for the spin magnetization: 0.0 μB/f.u. As for the crystal system: trigonal. The formation energy is 0.064 eV/f.u.

Cell lengths 8.6603, 13.7142, 13.7142 Å; angles 120.00, 90.00, 90.00 degrees
Fractional coordinates of all 17 atoms:
K1 0.7367 0.8027 0.8027
K2 0.2633 0.8027 0.0000
K3 0.5000 0.6667 0.3333
K4 0.0000 0.6667 0.3333
K5 0.2633 0.1973 0.1973
K6 0.2633 0.0000 0.8027
K7 0.5000 0.3333 0.6667
K8 0.0000 0.3333 0.6667
K9 0.7367 0.1973 0.0000
K10 0.7367 0.0000 0.1973
Cs1 0.2468 0.0000 0.3959
Cs2 0.2468 0.6041 0.6041
Cs3 0.7532 0.6041 0.0000
Cs4 0.7532 0.0000 0.6041
Cs5 0.2468 0.3959 0.0000
Cs6 0.7532 0.3959 0.3959
Au1 0.5000 0.0000 0.0000

---

## Cs4K3Au (PBE-GGA)

Data for a relaxed structure of Cs4K3Au.

Values from the calculation:
The space-group type is No. 59. As for the spin magnetization: 0.0 μB/f.u. As for the crystal system: orthorhombic. The formation energy is -0.542 eV/f.u.

Cell lengths 7.3226, 11.8416, 14.5371 Å; angles 90.00, 90.00, 90.00 degrees
Fractional coordinates of all 16 atoms:
Au1 0.0640 0.2610 0.0000
Au2 0.5640 0.7390 0.5000
Cs1 0.5643 0.8364 0.7426
Cs2 0.0645 0.7705 0.5000
Cs3 0.5645 0.0886 0.5000
Cs4 0.5645 0.2295 0.0000
Cs5 0.0643 0.1636 0.7574
Cs6 0.0643 0.1636 0.2426
Cs7 0.0645 0.9114 0.0000
Cs8 0.5643 0.8364 0.2574
K1 0.0645 0.5082 0.1495
K2 0.5645 0.4918 0.3505
K3 0.5645 0.4918 0.6495
K4 0.5646 0.6092 0.0000
K5 0.0645 0.5082 0.8505
K6 0.0646 0.3908 0.5000

---

## Cs3K7Au4 (PBE-GGA)

Data for a relaxed structure of Cs3K7Au4.

Values from the calculation:
The space-group type is No. 12. As for the spin magnetization: 0.0 μB/f.u. As for the crystal system: monoclinic. The formation energy is -2.371 eV/f.u.

Cell lengths 5.3612, 11.3734, 12.0443 Å; angles 71.91, 77.14, 76.37 degrees
Fractional coordinates of all 14 atoms:
K1 0.0000 0.0000 0.0000
K2 0.6838 0.1562 0.4761
K3 0.4944 0.2443 0.7669
K4 0.3162 0.8438 0.5239
K5 0.5056 0.7557 0.2331
K6 0.1726 0.5739 0.0809
K7 0.8274 0.4261 0.9191
Cs1 0.3010 0.1808 0.2173
Cs2 0.0000 0.5000 0.5000
Cs3 0.6990 0.8192 0.7827
Au1 0.3348 0.5724 0.7580
Au2 0.6652 0.4276 0.2420
Au3 0.1254 0.0788 0.6704
Au4 0.8746 0.9212 0.3296

---

## CsK2Au (PBE-GGA)

Data for a relaxed structure of CsK2Au.

Values from the calculation:
The space-group type is No. 62. As for the spin magnetization: 0.0 μB/f.u. As for the crystal system: orthorhombic. The formation energy is -0.660 eV/f.u.

Cell lengths 7.6047, 11.2193, 19.3586 Å; angles 90.00, 90.00, 90.00 degrees
Fractional coordinates of all 32 atoms:
Cs1 0.0031 0.2500 0.6372
Cs2 0.9969 0.7500 0.3628
Cs3 0.4969 0.2500 0.1372
Cs4 0.2696 0.7500 0.1052
Cs5 0.7304 0.2500 0.8948
Cs6 0.5031 0.7500 0.8628
Cs7 0.7696 0.2500 0.3948
Cs8 0.2304 0.7500 0.6052
Au1 0.3065 0.2500 0.3134
Au2 0.8065 0.7500 0.1866
Au3 0.0285 0.7500 0.9331
Au4 0.1935 0.2500 0.8134
Au5 0.4715 0.7500 0.4331
Au6 0.6935 0.7500 0.6866
Au7 0.5285 0.2500 0.5669
Au8 0.9715 0.2500 0.0669
K1 0.2831 0.4374 0.4549
K2 0.5344 0.9343 0.2872
K3 0.2169 0.4374 0.9549
K4 0.4656 0.4343 0.7128
K5 0.5344 0.5657 0.2872
K6 0.7169 0.9374 0.5451
K7 0.7831 0.9374 0.0451
K8 0.2169 0.0626 0.9549
K9 0.0344 0.0657 0.2128
K10 0.7831 0.5626 0.0451
K11 0.2831 0.0626 0.4549
K12 0.0344 0.4343 0.2128
K13 0.4656 0.0657 0.7128
K14 0.9656 0.9343 0.7872
K15 0.9656 0.5657 0.7872
K16 0.7169 0.5626 0.5451

---

## Cs3K7Au2 (PBE-GGA)

Data for a relaxed structure of Cs3K7Au2.

Values from the calculation:
The space-group type is No. 65. As for the spin magnetization: 0.0 μB/f.u. As for the crystal system: orthorhombic. The formation energy is -1.106 eV/f.u.

Cell lengths 6.7739, 6.7918, 17.6843 Å; angles 101.07, 90.00, 90.00 degrees
Fractional coordinates of all 12 atoms:
K1 0.5000 0.9014 0.8029
K2 0.5000 0.0986 0.1971
K3 0.0000 0.5975 0.1950
K4 0.0000 0.1927 0.3853
K5 0.0000 0.4025 0.8050
K6 0.0000 0.8073 0.6147
K7 0.0000 0.0000 0.0000
Au1 0.0000 0.0963 0.1927
Au2 0.0000 0.9037 0.8073
Cs1 0.5000 0.5000 0.0000
Cs2 0.5000 0.3044 0.6087
Cs3 0.5000 0.6956 0.3913